The following is a PBE calculation of a relaxed structure of BaMnCo, from the Alexandria database.

Results
The value obtained for the density of states at the Fermi level is 14.8 states/eV per cell. Its calculated volume is 312 Å³/cell. The calculation puts the energy above the most stable polymorph in this dataset at 4 meV per atom. The formation energy is 0.30 eV per atom. The crystal system is monoclinic.

Cell and atoms, written as CIF:
```
data_BaMnCo
_space_group_name_H-M_alt 'C 1 m 1'
_space_group_IT_number 8
_cell_length_a 7.1628
_cell_length_b 4.1365
_cell_length_c 10.7773
_cell_angle_alpha 90.00
_cell_angle_beta 102.50
_cell_angle_gamma 90.00
loop_
_space_group_symop_operation_xyz
'x,y,z'
'x,-y,z'
'x+1/2,y+1/2,z'
'x+1/2,-y+1/2,z'
loop_
_atom_site_label
_atom_site_type_symbol
_atom_site_fract_x
_atom_site_fract_y
_atom_site_fract_z
_atom_site_occupancy
Ba1 Ba 0.0000 0.0000 0.0000 1
Ba2 Ba 0.0303 0.5000 0.6041 1
Mn1 Mn 0.1118 0.0000 0.3428 1
Mn2 Mn 0.2334 0.5000 0.2044 1
Co1 Co 0.3018 0.5000 0.4148 1
Co2 Co 0.4234 0.0000 0.2763 1
```